The following is a DFT calculation (PBE-GGA) of CoSeBr after structural relaxation.

Cell lengths 3.4771, 3.4771, 6.8440 Å; angles 90.00, 90.00, 120.00 degrees
With the nearest neighbours (Å) after each atom.
Fractional positions:
Br1 0.0000 0.0000 0.1288  3 Co 2.50
Co1 0.6667 0.3333 0.3468  3 Se 2.35, 3 Br 2.50
Se1 0.3333 0.6667 0.5245  3 Co 2.35

Output
The calculated volume is 23.9 Å³/atom. The total energy comes out at -13.2 eV per formula unit. For the uncorrected formation energy, the calculation gives -0.3098 eV per atom. The calculation puts the size of the total moment at 0.0 μB/f.u.